Entry 1:
Computed, not measured: a geometry-optimized Pr3TmBi2 structure at the GGA-PBE level of DFT.

Cell: 4.663 4.663 9.011 Å, 90.00 90.00 90.00°
Element x y z (fractional)
Pr  0.000  0.000  0.000
Pr  0.000  0.500  0.648
Pr  0.500  0.000  0.352
Tm  0.500  0.500  0.000
Bi  0.000  0.500  0.277
Bi  0.500  0.000  0.723

Summary:
**Formation energy**: -0.645 eV/atom
**Spin magnetization**: 0.00 μB per cell

=====

Entry 2:
Computed, not measured: a geometry-optimized CuAgBrCl structure at the GGA-PBE level of DFT.

Cell: 4.017 4.104 6.122 Å, 90.00 90.00 90.00°
Element x y z (fractional)
Cu  0.000  0.000  0.000
Ag  0.500  0.500  0.472
Br  0.000  0.500  0.772
Cl  0.500  0.000  0.201

Summary:
**E_form (uncorrected)**: -32.8 kJ per mole of atoms
**Spin magnetization**: 0.00 μB per cell

=====

no.,raw total energy (eV/atom)
1,-5.074
2,-2.957